First-principles (PBE) data for a relaxed LiTe2Pd2 crystal, as listed in the Alexandria database.

Computed properties:
Energy above the lowest structure with this stoichiometry = 0.0 meV/atom
DOS(E_F) = 0.76 states/eV per atom
Energy = -4.094 eV per atom

a = 7.470 Å, b = 7.470 Å, c = 3.687 Å
α = 90.00°, β = 90.00°, γ = 90.00°
Space group P4/mbm (No. 127)
Unique sites:
Li (0.000, 0.000, 0.000)
Te (0.172, 0.328, 0.500)
Pd (0.133, 0.633, 0.000)

=====

First-principles (PBE) data for a relaxed LiTePd6 crystal, as listed in the Alexandria database.

Computed properties:
Energy above the lowest structure with this stoichiometry = 0.0 meV/atom
DOS(E_F) = 0.48 states/eV per atom
Energy = -4.823 eV per atom

a = 4.128 Å, b = 4.128 Å, c = 14.740 Å
α = 90.00°, β = 90.00°, γ = 90.00°
Space group I4/mmm (No. 139)
Unique sites:
Li (0.000, 0.000, 0.000)
Te (0.000, 0.000, 0.500)
Pd (0.000, 0.000, 0.252)
Pd (0.000, 0.500, 0.120)